# 1
## Pr6Tm2Sc3 (PBE-GGA)

Data for a relaxed structure of Pr6Tm2Sc3.

Output
theoretical density: 6303 kg/m³
DOS(E_F): 15.091 states/eV/cell
calculated formation energy: 51 meV per atom
calculated volume: 347.3 Å³ per cell

a = 6.114 Å, b = 7.931 Å, c = 7.979 Å
α = 107.28°, β = 97.78°, γ = 105.00°
Element x y z (fractional)
Pr: 0.051 0.185 0.409
Pr: 0.137 0.546 0.236
Pr: 0.325 0.270 0.867
Pr: 0.675 0.730 0.133
Pr: 0.863 0.454 0.764
Pr: 0.949 0.815 0.591
Tm: 0.233 0.914 0.051
Tm: 0.767 0.086 0.949
Sc: 0.413 0.643 0.682
Sc: 0.500 0.000 0.500
Sc: 0.587 0.357 0.318



# 2
## Pr4Tm2Sc3 (PBE-GGA)

Data for a relaxed structure of Pr4Tm2Sc3.

Output
theoretical density: 6241 kg/m³
DOS(E_F): 25.089 states/eV/cell
calculated formation energy: 115 meV per atom
calculated volume: 551.5 Å³ per cell

a = 10.124 Å, b = 10.124 Å, c = 5.809 Å
α = 96.61°, β = 96.61°, γ = 69.31°
Element x y z (fractional)
Pr: 0.045 0.824 0.971
Pr: 0.176 0.955 0.529
Pr: 0.278 0.514 0.697
Pr: 0.486 0.722 0.803
Pr: 0.514 0.278 0.197
Pr: 0.722 0.486 0.303
Pr: 0.824 0.045 0.471
Pr: 0.955 0.176 0.029
Tm: 0.164 0.383 0.129
Tm: 0.383 0.164 0.629
Tm: 0.617 0.836 0.371
Tm: 0.836 0.617 0.871
Sc: 0.029 0.323 0.584
Sc: 0.323 0.029 0.084
Sc: 0.363 0.637 0.250
Sc: 0.637 0.363 0.750
Sc: 0.677 0.971 0.916
Sc: 0.971 0.677 0.416



Record-wise energy values, in eV per atom: -5.10, -5.11